1.
# LiTiTe4

A geometry-optimized LiTiTe4 structure (PBE, Alexandria).

Cell: 7.669 7.669 7.107 Å, 112.26 112.26 103.07°
Fractional positions:
1 Li 0.132 0.868 0.750
2 Li 0.868 0.132 0.250
3 Ti 0.497 0.503 0.250
4 Ti 0.503 0.497 0.750
5 Te 0.159 0.282 0.771
6 Te 0.168 0.513 0.358
7 Te 0.282 0.159 0.271
8 Te 0.487 0.832 0.142
9 Te 0.513 0.168 0.858
10 Te 0.718 0.841 0.729
11 Te 0.832 0.487 0.642
12 Te 0.841 0.718 0.229

Properties
**Offset from the most stable computed form**: 0.026 eV per atom
**Formation energy from raw total energies**: -2.95 eV/f.u.

***

2.
# Rb4Cr

A geometry-optimized Rb4Cr structure (PBE, Alexandria).

Cell: 7.329 7.329 7.329 Å, 90.00 90.00 90.00°
Fractional positions:
1 Rb 0.000 0.000 0.000
2 Rb 0.000 0.500 0.500
3 Rb 0.500 0.000 0.500
4 Rb 0.500 0.500 0.000
5 Cr 0.500 0.500 0.500

Properties
**DFT formation energy**: 2.8 eV per formula unit

***

3.
# GaBrO2

A geometry-optimized GaBrO2 structure (PBE, Alexandria).

Cell: 3.297 3.297 21.556 Å, 90.00 90.00 120.00°
Fractional positions:
1 Ga 0.000 0.000 0.000
2 Ga 0.333 0.667 0.667
3 Ga 0.667 0.333 0.333
4 Br 0.000 0.000 0.500
5 Br 0.333 0.667 0.167
6 Br 0.667 0.333 0.833
7 O 0.000 0.000 0.079
8 O 0.000 0.000 0.921
9 O 0.333 0.667 0.588
10 O 0.333 0.667 0.746
11 O 0.667 0.333 0.254
12 O 0.667 0.333 0.412

Properties
**Offset from the most stable computed form**: 1.089 eV per atom
**Formation energy from raw total energies**: 0.87 eV/f.u.

***

4.
# Rb2ScTiBr6

A geometry-optimized Rb2ScTiBr6 structure (PBE, Alexandria).

Cell: 7.662 7.662 7.662 Å, 60.00 60.00 60.00°
Fractional positions:
1 Rb 0.250 0.250 0.250
2 Rb 0.750 0.750 0.750
3 Sc 0.000 0.000 0.000
4 Ti 0.500 0.500 0.500
5 Br 0.250 0.250 0.750
6 Br 0.250 0.750 0.250
7 Br 0.250 0.750 0.750
8 Br 0.750 0.250 0.250
9 Br 0.750 0.250 0.750
10 Br 0.750 0.750 0.250

Properties
**Formation energy from raw total energies**: -14.28 eV/f.u.

***

no.,total magnetic moment (μB per atom)
1,0.00
2,1.09
3,0.35
4,0.30